The following is a DFT calculation (GGA-PBE) of an optimized crystal structure of Na3BeAg.

a b c (Å): 5.3144 5.3144 5.3144
angles (deg): 90.00 90.00 90.00
Sites, in units of the cell vectors:
Na  0.0000  0.0000  0.5000
Na  0.0000  0.5000  0.0000
Na  0.5000  0.0000  0.0000
Be  0.0000  0.0000  0.0000
Ag  0.5000  0.5000  0.5000

V	150	Å³/f.u.
theoretical density	2056	kg/m3
total energy	-7.249	eV per cell
energy above the most stable polymorph in this dataset	0	meV per atom
DFT formation energy	317.0	kJ/mol of formula units
space group	No. 221
M_tot	0.00	μB/f.u.